Record 1
Density functional theory data (PBE) for a relaxed structure of Ce7SnAu2.

Calculated values
As for the formation energy: 2 meV per atom. As for the space group: Cmmm, No. 65.

Cell lengths 8.6757, 8.6757, 5.0927 Å; angles 90.00, 90.00, 121.42 degrees
Element x y z (fractional)
Ce 0.0000 0.0000 0.0000
Ce 0.2236 0.4511 0.0000
Ce 0.2742 0.7258 0.5000
Ce 0.4511 0.2236 0.0000
Ce 0.5489 0.7764 0.0000
Ce 0.7258 0.2742 0.5000
Ce 0.7764 0.5489 0.0000
Sn 0.5000 0.5000 0.5000
Au 0.1912 0.8088 0.0000
Au 0.8088 0.1912 0.0000

***

Record 2
Density functional theory data (PBE) for a relaxed structure of Sc2BeSb.

Calculated values
The value obtained for the uncorrected formation energy is -1.3 eV/f.u. As for the space group: Imm2, No. 44.

Cell lengths 5.6626, 5.6626, 5.6626 Å; angles 141.78, 134.88, 60.58 degrees
Element x y z (fractional)
Sc 0.0000 0.0000 0.0000
Sc 0.7349 0.2349 0.5000
Be 0.4718 0.4718 0.0000
Sb 0.2818 0.7818 0.5000